This record from the Alexandria database describes CsTiSb2Te after structural relaxation. The functional is PBE.

## Properties
Uncorrected formation energy, eV per atom: -0.295
Fermi-level density of states, states/eV/atom: 0.943
Final energy, eV per atom: -4.322
Crystal system: tetragonal
Size of the total moment, μB/f.u.: 0.0

Cell: 5.422 5.422 5.611 Å, 90.00 90.00 90.00°
Space group P4/mmm (No. 123)
Inequivalent atoms, fractional coordinates:
Cs 0.000 0.000 0.000 (multiplicity 1)
Ti 0.500 0.500 0.500 (multiplicity 1)
Sb 0.000 0.500 0.500 (multiplicity 2)
Te 0.500 0.500 0.000 (multiplicity 1)